1.
First-principles (GGA-PBE) data for a geometry-optimized MoOsSeBr2 structure, as listed in Alexandria via LeMat-Bulk.

The structure in POSCAR format:
```
MoOsSeBr2
1.0
5.222 0.000 0.000
0.000 5.222 0.000
0.000 0.000 4.854
Mo Os Se Br
1 1 1 2
Cartesian
0.000 0.000 0.000
2.611 2.611 2.427
0.000 0.000 2.427
0.000 2.611 0.000
2.611 0.000 0.000
```

Mass density = 6.6 g/cm3
Relative energy among the computed polymorphs = 246 meV/atom
Energy relative to the elements, uncorrected = 1.377 eV per atom
SG = P4/mmm (123)


2.
First-principles (GGA-PBE) data for a geometry-optimized MoOsSeBr2 structure, as listed in Alexandria via LeMat-Bulk.

The structure in POSCAR format:
```
MoOsSeBr2
1.0
5.312 0.000 0.000
0.000 5.312 0.000
0.000 0.000 4.626
Mo Os Se Br
1 1 1 2
Cartesian
0.000 0.000 0.000
2.656 2.656 2.313
2.656 2.656 0.000
0.000 2.656 2.313
2.656 0.000 2.313
```

Mass density = 6.7 g/cm3
Relative energy among the computed polymorphs = 0 meV/atom
Energy relative to the elements, uncorrected = 1.131 eV per atom
SG = P4/mmm (123)


3.
First-principles (GGA-PBE) data for a geometry-optimized MoOsSe2Br structure, as listed in Alexandria via LeMat-Bulk.

The structure in POSCAR format:
```
MoOsSe2Br
1.0
4.844 0.000 0.000
0.000 4.844 0.000
0.000 0.000 5.194
Mo Os Se Br
1 1 2 1
Cartesian
0.000 0.000 0.000
2.422 2.422 2.597
0.000 2.422 2.597
2.422 0.000 2.597
2.422 2.422 0.000
```

Mass density = 7.1 g/cm3
Relative energy among the computed polymorphs = 0 meV/atom
Energy relative to the elements, uncorrected = 1.146 eV per atom
SG = P4/mmm (123)


4.
First-principles (GGA-PBE) data for a geometry-optimized SnMoOsBr2 structure, as listed in Alexandria via LeMat-Bulk.

The structure in POSCAR format:
```
SnMoOsBr2
1.0
4.823 0.000 0.000
0.000 4.823 0.000
0.000 0.000 5.804
Sn Mo Os Br
1 1 1 2
Cartesian
0.000 0.000 0.000
0.000 0.000 2.902
2.412 2.412 0.000
0.000 2.412 2.902
2.412 0.000 2.902
```

Mass density = 6.9 g/cm3
Energy relative to the elements, uncorrected = 1.447 eV per atom
SG = P4/mmm (123)


5.
First-principles (GGA-PBE) data for a geometry-optimized MoPBr2 structure, as listed in Alexandria via LeMat-Bulk.

The structure in POSCAR format:
```
MoPBr2
1.0
3.539 0.000 0.000
0.000 2.563 5.708
0.000 -2.563 5.708
Mo P Br
1 1 2
Cartesian
0.000 0.000 0.000
1.769 0.000 1.439
0.000 0.000 5.367
1.769 0.000 9.312
```

Mass density = 4.6 g/cm3
Relative energy among the computed polymorphs = 140 meV/atom
Energy relative to the elements, uncorrected = -0.056 eV per atom
SG = Amm2 (38)


6.
First-principles (GGA-PBE) data for a geometry-optimized MoP3Br structure, as listed in Alexandria via LeMat-Bulk.

The structure in POSCAR format:
```
MoP3Br
1.0
4.713 0.000 0.000
0.000 4.713 0.000
0.000 0.000 4.713
Mo P Br
1 3 1
Cartesian
0.000 0.000 0.000
0.000 0.000 2.357
0.000 2.357 0.000
2.357 0.000 0.000
2.357 2.357 2.357
```

Mass density = 4.3 g/cm3
Relative energy among the computed polymorphs = 0 meV/atom
Energy relative to the elements, uncorrected = 0.414 eV per atom
SG = Pm-3m (221)


| no. | magnetic moment (μB/f.u.) |
| --- | --- |
| 1 | 5.91 |
| 2 | 4.92 |
| 3 | 3.51 |
| 4 | 2.96 |
| 5 | 0.01 |
| 6 | 0.00 |